# 1
# TeIrAu2 (SCAN, PBEsol geometry)
# Energy, eV per atom: -61.07
# V, Å³ per atom: 18.68
# Crystal system: tetragonal
# Calculated density, Mg/m³: 15.86
data_TeIrAu2
_chemical_formula_sum 'Te1 Ir1 Au2'
_space_group_name_H-M_alt 'P 4/m m m'
_space_group_IT_number 123
_space_group_name_Hall '-P 4 2'
_cell_length_a 2.971
_cell_length_b 2.971
_cell_length_c 8.465
_cell_angle_alpha 90.00
_cell_angle_beta 90.00
_cell_angle_gamma 90.00
loop_
_atom_site_label
_atom_site_type_symbol
_atom_site_fract_x
_atom_site_fract_y
_atom_site_fract_z
_atom_site_occupancy
Te1 Te 0.000 0.000 0.000 1
Ir1 Ir 0.000 0.000 0.500 1
Au1 Au 0.500 0.500 0.285 1

***

# 2
# ZnSiHg (SCAN, PBEsol geometry)
# Energy, eV per atom: -30.15
# V, Å³ per atom: 18.78
# Crystal system: trigonal
# Calculated density, Mg/m³: 8.67
data_ZnSiHg
_chemical_formula_sum 'Zn1 Si1 Hg1'
_space_group_name_H-M_alt 'P 3 m 1'
_space_group_IT_number 156
_cell_length_a 4.0966
_cell_length_b 4.0966
_cell_length_c 3.8764
_cell_angle_alpha 90.00
_cell_angle_beta 90.00
_cell_angle_gamma 120.00
loop_
_space_group_symop_operation_xyz
'x,y,z'
'-y,x-y,z'
'-x+y,-x,z'
'-y,-x,z'
'-x+y,y,z'
'x,x-y,z'
loop_
_atom_site_label
_atom_site_type_symbol
_atom_site_fract_x
_atom_site_fract_y
_atom_site_fract_z
_atom_site_occupancy
Zn1 Zn 0.0000 0.0000 0.0000 1
Si1 Si 0.3333 0.6667 0.8385 1
Hg1 Hg 0.6667 0.3333 0.4146 1

***

# 3
# TaRuW (SCAN, PBEsol geometry)
# Energy, eV per atom: -57.06
# V, Å³ per atom: 15.61
# DFT formation energy, eV/atom: -0.032
# Crystal system: tetragonal
# Calculated density, Mg/m³: 16.52
data_TaRuW
_chemical_formula_sum 'Ta2 Ru2 W2'
_space_group_name_H-M_alt 'I 4 m m'
_space_group_IT_number 107
_space_group_name_Hall 'I 4 -2'
_cell_length_a 3.157
_cell_length_b 3.157
_cell_length_c 9.399
_cell_angle_alpha 90.00
_cell_angle_beta 90.00
_cell_angle_gamma 90.00
loop_
_atom_site_label
_atom_site_type_symbol
_atom_site_fract_x
_atom_site_fract_y
_atom_site_fract_z
_atom_site_occupancy
Ta1 Ta 0.000 0.000 0.000 1
Ru1 Ru 0.000 0.000 0.334 1
W1 W 0.000 0.000 0.667 1